Compound: ErThMg2
Source: the Alexandria database
Functional: PBE-GGA
Structure: relaxed

Cell: 11.4962 11.4962 11.4962 Å, 16.97 16.97 16.97°
Last column: nearest neighbours and their distance in Å.
Element x y z (fractional)
Er (0.0000, 0.0000, 0.0000)  6 Mg 3.38, 6 Er 3.39
Th (0.5000, 0.5000, 0.5000)  6 Th 3.39, 6 Mg 3.51
Mg (0.2523, 0.2523, 0.2523)  3 Er 3.38, 6 Mg 3.39, 3 Th 3.51
Mg (0.7477, 0.7477, 0.7477)  3 Er 3.38, 6 Mg 3.39, 3 Th 3.51

Properties
* VASP energy: -3.7175 eV per atom
* formation energy from the elements: 0.075 eV/atom
* magnetization: 0.00 μB/f.u.
* crystal system: trigonal
* space-group type: R-3m

=====

Compound: ErThMg2
Source: the Alexandria database
Functional: PBE-GGA
Structure: relaxed

Cell: 5.3712 5.3712 5.3712 Å, 60.00 60.00 60.00°
Last column: nearest neighbours and their distance in Å.
Element x y z (fractional)
Er (0.0000, 0.0000, 0.0000)  8 Mg 3.29
Th (0.5000, 0.5000, 0.5000)  8 Mg 3.29
Mg (0.2500, 0.2500, 0.2500)  4 Th 3.29, 4 Er 3.29
Mg (0.7500, 0.7500, 0.7500)  4 Er 3.29, 4 Th 3.29

Properties
* VASP energy: -3.7878 eV per atom
* formation energy from the elements: 0.005 eV/atom
* magnetization: 0.00 μB/f.u.
* crystal system: cubic
* space-group type: Fm-3m